No. 1
## Ho2AgSe4 (GGA-PBE)

Data for a relaxed structure of Ho2AgSe4.

electronic total energy = -69.2 eV for the cell shown

Unit cell a=6.9254 b=5.6391 c=8.8039 alpha=90.00 beta=99.13 gamma=90.00
Space group P2_1/m (No. 11)
Unique sites:
Ho  0.1534  0.2500  0.3536 x2
Ho  0.2380  0.2500  0.9342 x2
Ag  0.3731  0.7500  0.5400 x2
Se  0.0213  0.7500  0.3737 x2
Se  0.0975  0.7500  0.9138 x2
Se  0.4510  0.5057  0.2121 x4

No. 2
## Mg6AlGa (GGA-PBE)

Data for a relaxed structure of Mg6AlGa.

DFT formation energy = -0.02 eV/atom
offset from the most stable computed form = 26 meV per atom
electronic total energy = -33.0 eV for the cell shown

Unit cell a=4.9186 b=6.4434 c=10.5954 alpha=90.00 beta=90.00 gamma=90.00
Space group Amm2 (No. 38)
Unique sites:
Mg  0.0000  0.0000  0.0000 x2
Mg  0.0000  0.0000  0.4994 x2
Mg  0.0000  0.2496  0.2560 x4
Mg  0.5000  0.2505  0.0822 x4
Al  0.5000  0.0000  0.3319 x2
Ga  0.5000  0.0000  0.8327 x2

No. 3
## SbMoSe2 (GGA-PBE)

Data for a relaxed structure of SbMoSe2.

electronic total energy = -67.9 eV for the cell shown

Unit cell a=3.3426 b=3.3426 c=28.4248 alpha=90.00 beta=90.00 gamma=120.00
Space group R-3m (No. 166, hexagonal axes)
Unique sites:
Sb  0.0000  0.0000  0.0000 x3
Mo  0.0000  0.0000  0.5000 x3
Se  0.0000  0.0000  0.1070 x6

Short version: total magnetic moment = 0.0; 0.0; 0.0 μB per cell, in the order given.